No. 1
Entry from Alexandria via LeMat-Bulk: a relaxed structure of Ce2PmCu2Au2 (GGA-PBE).

## Properties
DOS(E_F), states/eV/f.u.: 11.62
Raw total energy, eV/atom: -4.847
Total moment, μB per cell: 1.4

Cell lengths 4.5555, 4.5555, 8.8371 Å; angles 75.06, 75.06, 60.00 degrees
Each line ends with the local moment (μB).
Sites, in units of the cell vectors:
Ce (0.1383, 0.1383, 0.5850)  0.55
Ce (0.8617, 0.8617, 0.4150)  0.55
Pm (0.0000, 0.0000, 0.0000)  0.04
Cu (0.5886, 0.5886, 0.2344)  0.01
Cu (0.4114, 0.4114, 0.7656)  0.01
Au (0.7367, 0.7367, 0.7900)  0.02
Au (0.2633, 0.2633, 0.2100)  0.02

***

No. 2
Entry from Alexandria via LeMat-Bulk: a relaxed structure of CePrCuAu (GGA-PBE).

## Properties
DOS(E_F), states/eV/f.u.: 7.40
Raw total energy, eV/atom: -4.911
Total moment, μB per cell: 1.1
Polymorph energy (0 for the lowest one), kJ/mol of atoms: 0.0

Cell lengths 3.8908, 4.6266, 5.9463 Å; angles 90.00, 109.10, 90.00 degrees
Each line ends with the local moment (μB).
Sites, in units of the cell vectors:
Ce (0.8609, 0.5000, 0.7218)  0.80
Pr (0.1447, 0.0000, 0.2894)  0.04
Cu (0.4221, 0.0000, 0.8443)  0.00
Au (0.5723, 0.5000, 0.1446)  0.00

***

No. 3
Entry from Alexandria via LeMat-Bulk: a relaxed structure of CePrCuAu (GGA-PBE).

## Properties
DOS(E_F), states/eV/f.u.: 8.95
Raw total energy, eV/atom: -4.866
Total moment, μB per cell: 1.0
Polymorph energy (0 for the lowest one), kJ/mol of atoms: 4.4

Cell lengths 5.1816, 5.1816, 5.1816 Å; angles 60.00, 60.00, 60.00 degrees
Each line ends with the local moment (μB).
Sites, in units of the cell vectors:
Pr (0.0000, 0.0000, 0.0000)  0.07
Au (0.2500, 0.2500, 0.2500)  0.00
Cu (0.7500, 0.7500, 0.7500)  0.00
Ce (0.5000, 0.5000, 0.5000)  0.77

***

No. 4
Entry from Alexandria via LeMat-Bulk: a relaxed structure of Ce6PuCuAu2 (GGA-PBE).

## Properties
DOS(E_F), states/eV/f.u.: 13.58
Raw total energy, eV/atom: -6.340
Total moment, μB per cell: 0.0

Cell lengths 7.3531, 7.2539, 7.2711 Å; angles 119.92, 120.88, 90.00 degrees
Sites, in units of the cell vectors:
Ce (0.3382, 0.7291, 0.4583)
Ce (0.1674, 0.2065, 0.8865)
Ce (0.8326, 0.3200, 0.1135)
Ce (0.1674, 0.6800, 0.8865)
Ce (0.8326, 0.7935, 0.1135)
Ce (0.6617, 0.2709, 0.5417)
Pu (0.0000, 0.5000, 0.0000)
Cu (0.5000, 0.0000, 0.0000)
Au (0.2368, 0.2546, 0.5092)
Au (0.7632, 0.7454, 0.4908)

***

No. 5
Entry from Alexandria via LeMat-Bulk: a relaxed structure of CeCuSbAu (GGA-PBE).

## Properties
Uncorrected formation energy, kJ/mol of formula units: -165
DOS(E_F), states/eV/f.u.: 5.27
Raw total energy, eV/atom: -4.786
Total moment, μB per cell: 0.5

Cell lengths 4.9532, 4.9532, 4.9532 Å; angles 60.00, 60.00, 60.00 degrees
Each line ends with the local moment (μB).
Sites, in units of the cell vectors:
Sb (0.5000, 0.5000, 0.5000)  0.00
Au (0.7500, 0.7500, 0.7500)  -0.01
Cu (0.2500, 0.2500, 0.2500)  0.00
Ce (0.0000, 0.0000, 0.0000)  0.45

***

No. 6
Entry from Alexandria via LeMat-Bulk: a relaxed structure of CeScCuAu (GGA-PBE).

## Properties
DOS(E_F), states/eV/f.u.: 8.15
Raw total energy, eV/atom: -5.272
Total moment, μB per cell: 0.8

Cell lengths 4.9571, 4.9571, 4.9571 Å; angles 60.00, 60.00, 60.00 degrees
Each line ends with the local moment (μB).
Sites, in units of the cell vectors:
Sc (0.2500, 0.2500, 0.2500)  0.05
Au (0.0000, 0.0000, 0.0000)  0.01
Cu (0.5000, 0.5000, 0.5000)  0.00
Ce (0.7500, 0.7500, 0.7500)  0.57

***

No. 7
Entry from Alexandria via LeMat-Bulk: a relaxed structure of Ce2SmCu2Au2 (GGA-PBE).

## Properties
DOS(E_F), states/eV/f.u.: 11.61
Raw total energy, eV/atom: -4.844
Total moment, μB per cell: 1.5

Cell lengths 4.5600, 4.5600, 8.7626 Å; angles 74.92, 74.92, 60.00 degrees
Each line ends with the local moment (μB).
Sites, in units of the cell vectors:
Ce (0.1381, 0.1381, 0.5856)  0.57
Ce (0.8619, 0.8619, 0.4144)  0.57
Sm (0.0000, 0.0000, 0.0000)  0.04
Cu (0.5906, 0.5906, 0.2282)  0.01
Cu (0.4094, 0.4094, 0.7718)  0.01
Au (0.7358, 0.7358, 0.7926)  0.02
Au (0.2642, 0.2642, 0.2074)  0.02

***

No. 8
Entry from Alexandria via LeMat-Bulk: a relaxed structure of Ce2CuSn4Au3 (GGA-PBE).

## Properties
DOS(E_F), states/eV/f.u.: 17.77
Raw total energy, eV/atom: -4.630
Total moment, μB per cell: 2.0

Cell lengths 4.5685, 4.5685, 11.5191 Å; angles 90.00, 90.00, 90.00 degrees
Each line ends with the local moment (μB).
Sites, in units of the cell vectors:
Ce (0.5000, 0.0000, 0.2708)  0.92
Ce (0.0000, 0.5000, 0.7292)  0.92
Cu (0.5000, 0.5000, 0.5000)  0.00
Sn (0.5000, 0.5000, 0.0000)  0.00
Sn (0.0000, 0.0000, 0.0000)  0.00
Sn (0.5000, 0.0000, 0.6256)  -0.01
Sn (0.0000, 0.5000, 0.3744)  -0.01
Au (0.0000, 0.0000, 0.5000)  -0.01
Au (0.5000, 0.0000, 0.8553)  0.00
Au (0.0000, 0.5000, 0.1447)  0.00

***

No. 9
Entry from Alexandria via LeMat-Bulk: a relaxed structure of CeCuSnAu (GGA-PBE).

## Properties
DOS(E_F), states/eV/f.u.: 4.18
Raw total energy, eV/atom: -4.794
Total moment, μB per cell: 0.3

Cell lengths 4.9306, 4.9306, 4.9306 Å; angles 60.00, 60.00, 60.00 degrees
Each line ends with the local moment (μB).
Sites, in units of the cell vectors:
Cu (0.7500, 0.7500, 0.7500)  -0.01
Au (0.2500, 0.2500, 0.2500)  -0.01
Sn (0.5000, 0.5000, 0.5000)  0.00
Ce (0.0000, 0.0000, 0.0000)  0.32

***

No. 10
Entry from Alexandria via LeMat-Bulk: a relaxed structure of SrCeCuAu (GGA-PBE).

## Properties
DOS(E_F), states/eV/f.u.: 7.63
Raw total energy, eV/atom: -4.031
Total moment, μB per cell: 0.9

Cell lengths 5.2513, 5.2513, 5.2513 Å; angles 60.00, 60.00, 60.00 degrees
Each line ends with the local moment (μB).
Sites, in units of the cell vectors:
Sr (0.5000, 0.5000, 0.5000)  0.00
Au (0.7500, 0.7500, 0.7500)  0.00
Cu (0.2500, 0.2500, 0.2500)  0.00
Ce (0.0000, 0.0000, 0.0000)  0.86

***

No. 11
Entry from Alexandria via LeMat-Bulk: a relaxed structure of TbCeCuAu (GGA-PBE).

## Properties
DOS(E_F), states/eV/f.u.: 7.96
Raw total energy, eV/atom: -4.886
Total moment, μB per cell: 0.8

Cell lengths 5.0880, 5.0880, 5.0880 Å; angles 60.00, 60.00, 60.00 degrees
Each line ends with the local moment (μB).
Sites, in units of the cell vectors:
Tb (0.5000, 0.5000, 0.5000)  0.04
Au (0.7500, 0.7500, 0.7500)  0.00
Cu (0.2500, 0.2500, 0.2500)  0.00
Ce (0.0000, 0.0000, 0.0000)  0.65

***

No. 12
Entry from Alexandria via LeMat-Bulk: a relaxed structure of Ce2ThCu2Au2 (GGA-PBE).

## Properties
DOS(E_F), states/eV/f.u.: 11.48
Raw total energy, eV/atom: -5.217
Total moment, μB per cell: 0.9

Cell lengths 4.5841, 4.5841, 8.7113 Å; angles 74.75, 74.75, 60.00 degrees
Each line ends with the local moment (μB).
Sites, in units of the cell vectors:
Ce (0.1375, 0.1375, 0.5874)  0.39
Ce (0.8625, 0.8625, 0.4126)  0.39
Th (0.0000, 0.0000, 0.0000)  0.02
Cu (0.5892, 0.5892, 0.2323)  0.00
Cu (0.4108, 0.4108, 0.7677)  0.00
Au (0.7356, 0.7356, 0.7932)  0.01
Au (0.2644, 0.2644, 0.2068)  0.01

***

No. 13
Entry from Alexandria via LeMat-Bulk: a relaxed structure of CeYCuAu (GGA-PBE).

## Properties
DOS(E_F), states/eV/f.u.: 8.27
Raw total energy, eV/atom: -5.345
Total moment, μB per cell: 0.8

Cell lengths 5.0890, 5.0890, 5.0890 Å; angles 60.00, 60.00, 60.00 degrees
Each line ends with the local moment (μB).
Sites, in units of the cell vectors:
Y (0.7500, 0.7500, 0.7500)  0.03
Au (0.0000, 0.0000, 0.0000)  0.00
Cu (0.5000, 0.5000, 0.5000)  0.00
Ce (0.2500, 0.2500, 0.2500)  0.66

***

No. 14
Entry from Alexandria via LeMat-Bulk: a relaxed structure of Ce2ZnCuAu6 (GGA-PBE).

## Properties
DOS(E_F), states/eV/f.u.: 18.87
Raw total energy, eV/atom: -4.020
Total moment, μB per cell: 2.4

Cell lengths 6.8204, 7.0609, 6.8174 Å; angles 78.46, 47.25, 96.32 degrees
Each line ends with the local moment (μB).
Sites, in units of the cell vectors:
Ce (0.7386, 0.2117, 0.5275)  0.98
Ce (0.2614, 0.7883, 0.4725)  0.98
Zn (0.5000, 0.5000, 0.0000)  0.01
Cu (0.0000, 0.0000, 0.0000)  0.01
Au (0.2226, 0.2244, 0.5003)  0.01
Au (0.7538, 0.5998, 0.1538)  0.01
Au (0.2765, 0.7759, 0.9996)  0.01
Au (0.7235, 0.2241, 0.0004)  0.01
Au (0.2462, 0.4002, 0.8462)  0.01
Au (0.7774, 0.7756, 0.4997)  0.01

***

No. 15
Entry from Alexandria via LeMat-Bulk: a relaxed structure of CeZn2CuAu5 (GGA-PBE).

## Properties
DOS(E_F), states/eV/f.u.: 9.47
Raw total energy, eV/atom: -3.342
Total moment, μB per cell: 1.0

Cell lengths 4.9387, 4.9387, 7.3740 Å; angles 90.00, 90.00, 90.00 degrees
Each line ends with the local moment (μB).
Sites, in units of the cell vectors:
Ce (0.0000, 0.0000, 0.5000)  0.90
Zn (0.5000, 0.5000, 0.1597)  0.00
Zn (0.5000, 0.5000, 0.8403)  0.00
Cu (0.0000, 0.0000, 0.0000)  -0.01
Au (0.0000, 0.5000, 0.2133)  0.00
Au (0.5000, 0.0000, 0.2133)  0.00
Au (0.0000, 0.5000, 0.7867)  0.00
Au (0.5000, 0.0000, 0.7867)  0.00
Au (0.5000, 0.5000, 0.5000)  0.00

***

No. 16
Entry from Alexandria via LeMat-Bulk: a relaxed structure of Ce2Zn3Cu12Au (GGA-PBE).

## Properties
DOS(E_F), states/eV/f.u.: 16.05
Raw total energy, eV/atom: -3.653
Total moment, μB per cell: 1.5

Cell lengths 9.6095, 9.6095, 9.6095 Å; angles 38.07, 38.07, 38.07 degrees
Each line ends with the local moment (μB).
Sites, in units of the cell vectors:
Ce (0.6446, 0.6446, 0.6446)  0.68
Ce (0.3554, 0.3554, 0.3554)  0.68
Zn (0.5000, 0.0000, 0.0000)  0.00
Zn (0.0000, 0.5000, 0.0000)  0.00
Zn (0.0000, 0.0000, 0.5000)  0.00
Cu (0.4181, 0.4181, 0.7987)  0.00
Cu (0.8909, 0.8909, 0.4225)  0.00
Cu (0.4225, 0.8909, 0.8909)  0.00
Cu (0.7987, 0.4181, 0.4181)  0.00
Cu (0.8909, 0.4225, 0.8909)  0.00
Cu (0.4181, 0.7987, 0.4181)  0.00
Cu (0.5819, 0.5819, 0.2013)  0.00
Cu (0.1091, 0.1091, 0.5775)  0.00
Cu (0.5775, 0.1091, 0.1091)  0.00
Cu (0.2013, 0.5819, 0.5819)  0.00
Cu (0.1091, 0.5775, 0.1091)  0.00
Cu (0.5819, 0.2013, 0.5819)  0.00
Au (0.0000, 0.0000, 0.0000)  0.00

***

No. 17
Entry from Alexandria via LeMat-Bulk: a relaxed structure of Ce2Zn4CuAu3 (GGA-PBE).

## Properties
DOS(E_F), states/eV/f.u.: 16.64
Raw total energy, eV/atom: -3.477
Total moment, μB per cell: 1.7

Cell lengths 4.1713, 4.1713, 11.4900 Å; angles 90.00, 90.00, 90.00 degrees
Each line ends with the local moment (μB).
Sites, in units of the cell vectors:
Ce (0.5000, 0.0000, 0.2560)  0.74
Ce (0.0000, 0.5000, 0.7440)  0.74
Zn (0.5000, 0.5000, 0.0000)  0.00
Zn (0.0000, 0.0000, 0.0000)  0.00
Zn (0.5000, 0.0000, 0.6292)  0.00
Zn (0.0000, 0.5000, 0.3708)  0.00
Cu (0.5000, 0.5000, 0.5000)  0.00
Au (0.0000, 0.0000, 0.5000)  0.00
Au (0.5000, 0.0000, 0.8536)  -0.01
Au (0.0000, 0.5000, 0.1464)  -0.01

***

No. 18
Entry from Alexandria via LeMat-Bulk: a relaxed structure of Ce2DyAu (GGA-PBE).

## Properties
DOS(E_F), states/eV/f.u.: 9.41
Raw total energy, eV/atom: -5.191
Total moment, μB per cell: 1.0
Polymorph energy (0 for the lowest one), kJ/mol of atoms: 0.0

Cell lengths 5.6147, 4.2121, 4.2121 Å; angles 90.00, 90.00, 90.00 degrees
Each line ends with the local moment (μB).
Sites, in units of the cell vectors:
Au (0.5000, 0.0000, 0.0000)  0.01
Ce (0.0000, 0.0000, 0.5000)  0.38
Ce (0.0000, 0.5000, 0.0000)  0.38
Dy (0.5000, 0.5000, 0.5000)  0.02

***

No. 19
Entry from Alexandria via LeMat-Bulk: a relaxed structure of Ce4DyAu5 (GGA-PBE).

## Properties
DOS(E_F), states/eV/f.u.: 28.12
Raw total energy, eV/atom: -5.119
Total moment, μB per cell: 4.3

Cell lengths 3.6186, 3.6186, 18.9151 Å; angles 90.00, 90.00, 90.00 degrees
Each line ends with the local moment (μB).
Sites, in units of the cell vectors:
Ce (0.0000, 0.0000, 0.1971)  0.90
Ce (0.0000, 0.0000, 0.3992)  0.85
Ce (0.0000, 0.0000, 0.6008)  0.85
Ce (0.0000, 0.0000, 0.8029)  0.90
Dy (0.0000, 0.0000, 0.0000)  0.02
Au (0.5000, 0.5000, 0.0908)  0.00
Au (0.5000, 0.5000, 0.2983)  0.00
Au (0.5000, 0.5000, 0.5000)  -0.01
Au (0.5000, 0.5000, 0.7017)  0.00
Au (0.5000, 0.5000, 0.9092)  0.00

***

No. 20
Entry from Alexandria via LeMat-Bulk: a relaxed structure of Ce2DyAu (GGA-PBE).

## Properties
DOS(E_F), states/eV/f.u.: 11.85
Raw total energy, eV/atom: -5.140
Total moment, μB per cell: 2.1
Polymorph energy (0 for the lowest one), kJ/mol of atoms: 4.9

Cell lengths 3.7590, 3.7590, 8.0448 Å; angles 90.00, 90.00, 90.00 degrees
Each line ends with the local moment (μB).
Sites, in units of the cell vectors:
Au (0.5000, 0.5000, 0.0000)  0.00
Ce (0.0000, 0.0000, 0.7906)  0.77
Ce (0.0000, 0.0000, 0.2094)  0.77
Dy (0.5000, 0.5000, 0.5000)  0.13